(1)
## La2ScVC (GGA-PBE)

Data for crystalline La2ScVC at its relaxed geometry.

abc: 5.614 5.614 3.926
angles: 90.00 90.00 90.00
Fractional positions:
1 La 0.000 0.500 0.000
2 La 0.500 0.000 0.000
3 Sc 0.000 0.000 0.500
4 V 0.500 0.500 0.000
5 C 0.500 0.500 0.500

Computed properties:
Symmetry   P4/mmm
E_form   381 kJ/mol of formula units

***

(2)
## Ac3P2Cl (GGA-PBE)

Data for crystalline Ac3P2Cl at its relaxed geometry.

abc: 4.446 12.340 8.610
angles: 90.00 104.89 90.00
Fractional positions:
1 Ac 0.002 0.250 0.004
2 Ac 0.374 0.015 0.746
3 Ac 0.374 0.485 0.746
4 Ac 0.626 0.515 0.254
5 Ac 0.626 0.985 0.254
6 Ac 0.998 0.750 0.996
7 P 0.000 0.000 0.000
8 P 0.000 0.500 0.000
9 P 0.383 0.250 0.765
10 P 0.617 0.750 0.235
11 Cl 0.365 0.750 0.730
12 Cl 0.635 0.250 0.270

Computed properties:
Raw total energy   -5.388 eV/atom
Symmetry   P2_1/m

***

(3)
## Si2RhNO (GGA-PBE)

Data for crystalline Si2RhNO at its relaxed geometry.

abc: 2.897 4.947 5.019
angles: 105.96 97.83 104.72
Fractional positions:
1 Si 0.000 0.000 0.000
2 Si 0.429 0.092 0.497
3 Rh 0.378 0.688 0.110
4 N 0.009 0.157 0.723
5 O 0.315 0.311 0.298

Computed properties:
Symmetry   P1
Polymorph energy (0 for the lowest one)   241.6 meV/atom

***

(4)
## LuPu2Ir (GGA-PBE)

Data for crystalline LuPu2Ir at its relaxed geometry.

abc: 3.540 3.540 30.183
angles: 90.00 90.00 120.00
Fractional positions:
1 Lu 0.000 0.000 0.000
2 Lu 0.333 0.667 0.667
3 Lu 0.667 0.333 0.333
4 Pu 0.000 0.000 0.104
5 Pu 0.000 0.000 0.896
6 Pu 0.333 0.667 0.562
7 Pu 0.333 0.667 0.771
8 Pu 0.667 0.333 0.229
9 Pu 0.667 0.333 0.438
10 Ir 0.000 0.000 0.500
11 Ir 0.333 0.667 0.167
12 Ir 0.667 0.333 0.833

Computed properties:
Symmetry   R-3m
E_form   57 kJ/mol of formula units

***

(5)
## Li2YZn2Ga2 (GGA-PBE)

Data for crystalline Li2YZn2Ga2 at its relaxed geometry.

abc: 7.599 4.390 8.082
angles: 90.00 108.46 90.00
Fractional positions:
1 Li 0.138 0.000 0.411
2 Li 0.362 0.500 0.589
3 Li 0.638 0.500 0.411
4 Li 0.862 0.000 0.589
5 Y 0.000 0.000 0.000
6 Y 0.500 0.500 0.000
7 Zn 0.083 0.500 0.750
8 Zn 0.417 0.000 0.250
9 Zn 0.583 0.000 0.750
10 Zn 0.917 0.500 0.250
11 Ga 0.241 0.500 0.222
12 Ga 0.259 0.000 0.778
13 Ga 0.741 0.000 0.222
14 Ga 0.759 0.500 0.778

Computed properties:
Symmetry   C2/m
E_form   -251 kJ/mol of formula units

***

(6)
## Be2IrPt (GGA-PBE)

Data for crystalline Be2IrPt at its relaxed geometry.

abc: 7.342 2.814 4.793
angles: 90.00 103.53 90.00
Fractional positions:
1 Be 0.248 0.000 0.236
2 Be 0.252 0.500 0.764
3 Be 0.748 0.500 0.236
4 Be 0.752 0.000 0.764
5 Ir 0.000 0.500 0.000
6 Ir 0.500 0.000 0.000
7 Pt 0.000 0.000 0.500
8 Pt 0.500 0.500 0.500

Computed properties:
Symmetry   C2/m
Polymorph energy (0 for the lowest one)   322.1 meV/atom
E_form   -151 kJ/mol of formula units

***

(7)
## LiCe2PrAu4 (GGA-PBE)

Data for crystalline LiCe2PrAu4 at its relaxed geometry.

abc: 8.938 8.938 8.938
angles: 33.42 33.42 33.42
Fractional positions:
1 Li 0.000 0.000 0.000
2 Ce 0.258 0.258 0.258
3 Ce 0.742 0.742 0.742
4 Pr 0.500 0.500 0.500
5 Au 0.120 0.120 0.120
6 Au 0.378 0.378 0.378
7 Au 0.622 0.622 0.622
8 Au 0.880 0.880 0.880

Computed properties:
Symmetry   R-3m
E_form   -468 kJ/mol of formula units

***

(8)
## PrSm5Ga2 (GGA-PBE)

Data for crystalline PrSm5Ga2 at its relaxed geometry.

abc: 4.393 9.758 11.210
angles: 90.00 90.00 90.00
Fractional positions:
1 Pr 0.000 0.000 0.000
2 Pr 0.500 0.500 0.500
3 Sm 0.000 0.200 0.348
4 Sm 0.000 0.200 0.652
5 Sm 0.000 0.500 0.000
6 Sm 0.000 0.800 0.348
7 Sm 0.000 0.800 0.652
8 Sm 0.500 0.000 0.500
9 Sm 0.500 0.300 0.152
10 Sm 0.500 0.300 0.848
11 Sm 0.500 0.700 0.152
12 Sm 0.500 0.700 0.848
13 Ga 0.000 0.500 0.280
14 Ga 0.000 0.500 0.720
15 Ga 0.500 0.000 0.220
16 Ga 0.500 0.000 0.780

Computed properties:
Symmetry   Immm
E_form   -131 kJ/mol of formula units

***

(9)
## NaSi (GGA-PBE)

Data for crystalline NaSi at its relaxed geometry.

abc: 6.897 6.897 11.067
angles: 114.98 114.98 56.93
Fractional positions:
1 Na 0.037 0.225 0.452
2 Na 0.190 0.512 0.858
3 Na 0.225 0.037 0.952
4 Na 0.488 0.810 0.642
5 Na 0.512 0.190 0.358
6 Na 0.775 0.963 0.048
7 Na 0.810 0.488 0.142
8 Na 0.963 0.775 0.548
9 Si 0.146 0.731 0.313
10 Si 0.269 0.854 0.187
11 Si 0.364 0.440 0.142
12 Si 0.440 0.364 0.642
13 Si 0.560 0.636 0.358
14 Si 0.636 0.560 0.858
15 Si 0.731 0.146 0.813
16 Si 0.854 0.269 0.687

Computed properties:
Symmetry   C2/c
Polymorph energy (0 for the lowest one)   0.0 meV/atom

***

(10)
## Ce4TmSe7 (GGA-PBE)

Data for crystalline Ce4TmSe7 at its relaxed geometry.

abc: 7.170 7.170 12.357
angles: 104.54 104.54 33.15
Fractional positions:
1 Ce 0.000 0.000 0.000
2 Ce 0.188 0.188 0.766
3 Ce 0.584 0.584 0.379
4 Ce 0.885 0.885 0.570
5 Tm 0.771 0.771 0.149
6 Se 0.156 0.156 0.221
7 Se 0.225 0.225 0.521
8 Se 0.380 0.380 0.077
9 Se 0.545 0.545 0.625
10 Se 0.629 0.629 0.930
11 Se 0.848 0.848 0.788
12 Se 0.922 0.922 0.350

Computed properties:
Raw total energy   -6.192 eV/atom
Symmetry   Cm

***

(11)
## LiScCoAs (GGA-PBE)

Data for crystalline LiScCoAs at its relaxed geometry.

abc: 5.986 5.986 5.986
angles: 90.00 90.00 90.00
Fractional positions:
1 Li 0.000 0.000 0.000
2 Li 0.000 0.500 0.500
3 Li 0.500 0.000 0.500
4 Li 0.500 0.500 0.000
5 Sc 0.250 0.250 0.250
6 Sc 0.250 0.750 0.750
7 Sc 0.750 0.250 0.750
8 Sc 0.750 0.750 0.250
9 Co 0.000 0.000 0.500
10 Co 0.000 0.500 0.000
11 Co 0.500 0.000 0.000
12 Co 0.500 0.500 0.500
13 As 0.250 0.250 0.750
14 As 0.250 0.750 0.250
15 As 0.750 0.250 0.250
16 As 0.750 0.750 0.750

Computed properties:
Symmetry   F-43m
E_form   -233 kJ/mol of formula units